# 1
A plane-wave DFT calculation with PBE-GGA was carried out for a geometry-optimized Zr2SbOs structure.

Cell: 8.4974 8.4974 8.4974 Å, 23.75 23.75 23.75°
Positions (direct):
Os  0.2500  0.2500  0.2500
Sb  0.7500  0.7500  0.7500
Zr  0.5100  0.5100  0.5100
Zr  0.9900  0.9900  0.9900

Properties
M_tot ... 0.0 μB/cell
Density of states at the Fermi level ... 3.68 states/eV/f.u.
DFT total energy ... -8.261 eV per atom
Volume ... 87.5 Å³/f.u.


# 2
A plane-wave DFT calculation with PBE-GGA was carried out for a geometry-optimized Zr2SbOs2 structure.

Cell: 7.6988 7.6988 3.2653 Å, 90.00 90.00 90.00°
Positions (direct):
Zr  0.1592  0.6592  0.5000
Zr  0.6592  0.8408  0.5000
Zr  0.8408  0.3408  0.5000
Zr  0.3408  0.1592  0.5000
Os  0.6350  0.1350  0.0000
Os  0.8650  0.6350  0.0000
Os  0.3650  0.8650  0.0000
Os  0.1350  0.3650  0.0000
Sb  0.5000  0.5000  0.0000
Sb  0.0000  0.0000  0.0000

Properties
M_tot ... 0.0 μB/cell
Density of states at the Fermi level ... 3.66 states/eV/f.u.
ΔE to the lowest computed polymorph ... 0 meV/atom
Volume ... 96.8 Å³/f.u.


# 3
A plane-wave DFT calculation with PBE-GGA was carried out for a geometry-optimized ZrSbOs2 structure.

Cell: 5.3013 5.3013 4.7848 Å, 71.36 71.36 34.22°
Positions (direct):
Sb  0.4840  0.4840  0.4961
Zr  0.2512  0.2512  0.2699
Os  0.7461  0.7461  0.8033
Os  0.0187  0.0187  0.9307

Properties
M_tot ... 0.0 μB/cell
Density of states at the Fermi level ... 3.66 states/eV/f.u.
DFT total energy ... -8.695 eV per atom
Volume ... 71.3 Å³/f.u.


- Which value of volume does entry 2 give?
  96.8 Å³/f.u.